Entry from Alexandria via LeMat-Bulk: HgMoN2O after structural relaxation (PBE with a Hubbard U).

- VASP energy: -5.386 eV/atom

a b c (Å): 4.063 4.063 3.909
angles (deg): 90.00 90.00 90.00
Element x y z (fractional)
Mo  0.000  0.000  0.000
Hg  0.500  0.500  0.500
O  0.000  0.000  0.500
N  0.000  0.500  0.000
N  0.500  0.000  0.000